[1]
This record from Alexandria via LeMat-Bulk describes an optimized crystal structure of Dy2Re3B4. The functional is PBE.

abc: 5.8193 8.9853 9.8045
angles: 90.00 90.00 90.00
Space group Fmmm (No. 69)
Unique sites:
1 Dy 0.0000 0.0000 0.1609 (multiplicity 8)
2 Re 0.0000 0.0000 0.5000 (multiplicity 4)
3 Re 0.2500 0.2500 0.0000 (multiplicity 8)
4 B 0.0000 0.2147 0.3339 (multiplicity 16)

Raw total energy   -8.16 eV/atom
ΔE_f   -0.018 eV per atom
N(E_F)   4.876 states/eV/f.u.

[2]
This record from Alexandria via LeMat-Bulk describes an optimized crystal structure of Dy2ReB6. The functional is PBE.

abc: 9.1846 11.5739 3.6837
angles: 90.00 90.00 90.00
Space group Pbam (No. 55)
Unique sites:
1 Dy 0.0575 0.1300 0.0000 (multiplicity 4)
2 Dy 0.1766 0.4142 0.0000 (multiplicity 4)
3 Re 0.1376 0.6791 0.0000 (multiplicity 4)
4 B 0.0180 0.2882 0.5000 (multiplicity 4)
5 B 0.0530 0.5672 0.5000 (multiplicity 4)
6 B 0.1000 0.9719 0.5000 (multiplicity 4)
7 B 0.1303 0.8141 0.5000 (multiplicity 4)
8 B 0.2089 0.2346 0.5000 (multiplicity 4)
9 B 0.2486 0.5815 0.5000 (multiplicity 4)

Excess energy over the best structure of this formula in the dataset   0 meV per atom
Raw total energy   -7.49 eV/atom
ΔE_f   -0.628 eV per atom
N(E_F)   2.715 states/eV/f.u.